[1]
VASP calculation (PBE) on a relaxed structure of Na2ZnAgF8.

Calculated values
mass density: 3.56 Mg/m³
Fermi-level density of states: 0.71 states/eV/cell
VASP energy: -3.680 eV/atom
E_form (uncorrected): -22.43 eV per formula unit
calculated volume: 14.4 Å³/atom

Unit cell a=4.819 b=5.124 c=7.091 alpha=84.48 beta=86.21 gamma=84.81
Atoms (fractional coordinates):
Na: 0.010 0.495 0.261
Na: 0.990 0.505 0.739
Zn: 0.500 0.000 0.500
Ag: 0.500 0.000 0.000
F: 0.187 0.244 0.514
F: 0.187 0.272 0.002
F: 0.341 0.819 0.237
F: 0.348 0.779 0.702
F: 0.652 0.221 0.298
F: 0.659 0.181 0.763
F: 0.813 0.728 0.998
F: 0.813 0.756 0.486

***

[2]
VASP calculation (PBE) on a relaxed structure of Sr2TlBiC.

Calculated values
mass density: 4.31 Mg/m³
Fermi-level density of states: 2.68 states/eV/cell
VASP energy: -2.499 eV/atom
DFT formation energy: 1268 meV/atom
calculated volume: 46.2 Å³/atom

Unit cell a=6.388 b=6.388 c=5.667 alpha=90.00 beta=90.00 gamma=90.00
Atoms (fractional coordinates):
Sr: 0.000 0.500 0.000
Sr: 0.500 0.000 0.000
Tl: 0.000 0.000 0.000
Bi: 0.000 0.000 0.500
C: 0.500 0.500 0.500